VASP calculation (PBE with a Hubbard U) on a relaxed AcAgWO5 crystal.

Cell lengths 6.669, 6.669, 9.096 Å; angles 110.31, 110.31, 90.63 degrees
Sites, in units of the cell vectors:
O  0.256  0.738  0.588
O  0.302  0.334  0.659
O  0.744  0.262  0.412
O  0.079  0.921  0.250
O  0.262  0.744  0.912
O  0.738  0.256  0.088
O  0.921  0.079  0.750
O  0.698  0.666  0.341
O  0.334  0.302  0.159
O  0.666  0.698  0.841
Ag  0.301  0.699  0.250
Ag  0.699  0.301  0.750
W  0.371  0.629  0.750
W  0.629  0.371  0.250
Ac  0.000  0.000  0.500
Ac  0.000  0.000  0.000

VASP energy ... -6.9122 eV per atom
Space group ... C2/c
Calculated density ... 5.652 g cm⁻³